Computed, not measured: a relaxed structure of SmCr2TeO8 at the PBE with a Hubbard U level of DFT.

VASP energy (eV/atom): -6.954
Total magnetization (Bohr magnetons per cell): 6.205
Density of states at the Fermi level (states/eV/cell): 3.8
Volume (Å³/cell): 146.0
Symmetry: No. 65

Lattice parameters (Å, degrees): 4.676 4.675 6.679 89.98 89.98 89.51
Fractional coordinates of all 12 atoms:
O 0.337 0.337 0.500
O 0.197 0.803 0.785
O 0.803 0.197 0.215
O 0.804 0.198 0.785
O 0.196 0.802 0.215
O 0.301 0.301 0.000
O 0.663 0.663 0.500
O 0.699 0.699 0.000
Cr 0.500 0.500 0.765
Cr 0.500 0.500 0.235
Te 0.000 0.000 0.000
Sm 0.000 0.000 0.500